Density functional theory data (PBE) for an optimized crystal structure of La2ReTe.

Lattice parameters (Å, degrees): 5.1749 5.1749 5.1749 60.00 60.00 60.00
Last column: nearest neighbours and their distance in Å.
Fractional coordinates of all 4 atoms:
La  0.0000  0.0000  0.0000  4 Te 3.17, 4 La 3.17
La  0.2500  0.2500  0.2500  4 La 3.17, 4 Re 3.17
Re  0.5000  0.5000  0.5000  4 La 3.17, 4 Te 3.17
Te  0.7500  0.7500  0.7500  4 La 3.17, 4 Re 3.17

E_form (uncorrected) ... 0.124 eV/atom